[1]
## VTc2HRu (PBE)

Data for a geometry-optimized VTc2HRu structure.

```
VTc2HRu
1.0
3.895 0.000 0.000
0.000 3.895 0.000
0.000 0.000 3.890
V Tc H Ru
1 2 1 1
Direct
0.000 0.000 0.000
0.000 0.500 0.500
0.500 0.000 0.500
0.500 0.500 0.500
0.500 0.500 0.000
```

Values from the calculation:
relative energy among the computed polymorphs	20	meV per atom

=====

[2]
## La2TbHo3Er6 (PBE)

Data for a geometry-optimized La2TbHo3Er6 structure.

```
La2TbHo3Er6
1.0
3.084 -5.338 0.000
3.084 5.338 0.000
-2.051 0.000 11.569
La Tb Ho Er
2 1 3 6
Direct
0.167 0.833 0.000
0.833 0.167 0.000
0.500 0.500 0.000
0.000 0.000 0.500
0.334 0.666 0.500
0.666 0.334 0.500
0.083 0.415 0.745
0.253 0.253 0.255
0.415 0.083 0.745
0.585 0.917 0.255
0.747 0.747 0.745
0.917 0.585 0.255
```

Values from the calculation:
formation energy from the elements	0.0247	eV per atom

=====

[3]
## Sm6GeBi2 (PBE)

Data for a geometry-optimized Sm6GeBi2 structure.

```
Sm6GeBi2
1.0
6.441 0.000 0.000
0.000 8.411 0.000
-6.329 0.000 10.488
Sm Ge Bi
12 2 4
Direct
0.083 0.188 0.455
0.083 0.312 0.955
0.325 0.674 0.457
0.325 0.826 0.957
0.363 0.033 0.237
0.363 0.467 0.737
0.637 0.533 0.263
0.637 0.967 0.763
0.675 0.174 0.043
0.675 0.326 0.543
0.917 0.688 0.045
0.917 0.812 0.545
0.500 0.000 0.500
0.500 0.500 0.000
0.153 0.112 0.748
0.153 0.388 0.248
0.847 0.612 0.752
0.847 0.888 0.252
```

Values from the calculation:
formation energy from the elements	-0.5693	eV per atom

=====

[4]
## Pa2Zn16Co (PBE)

Data for a geometry-optimized Pa2Zn16Co structure.

```
Pa2Zn16Co
1.0
4.492 2.594 4.336
-4.492 2.594 4.336
0.000 -5.187 4.336
Pa Zn Co
2 16 1
Direct
0.000 0.000 0.000
0.335 0.335 0.335
0.027 0.027 0.518
0.027 0.518 0.027
0.176 0.675 0.675
0.320 0.320 0.838
0.320 0.838 0.320
0.387 0.677 0.968
0.387 0.968 0.677
0.518 0.027 0.027
0.579 0.579 0.579
0.675 0.176 0.675
0.675 0.675 0.176
0.677 0.387 0.968
0.677 0.968 0.387
0.838 0.320 0.320
0.968 0.387 0.677
0.968 0.677 0.387
0.821 0.821 0.821
```

Values from the calculation:
formation energy from the elements	-0.1166	eV per atom

=====

[5]
## CePm3Sb2 (PBE)

Data for a geometry-optimized CePm3Sb2 structure.

```
CePm3Sb2
1.0
4.507 0.000 0.000
0.000 4.507 0.000
0.000 0.000 8.878
Ce Pm Sb
1 3 2
Direct
0.000 0.000 0.000
0.000 0.500 0.359
0.500 0.000 0.641
0.500 0.500 0.000
0.000 0.500 0.721
0.500 0.000 0.279
```

Values from the calculation:
relative energy among the computed polymorphs	0	meV per atom
uncorrected formation energy	-0.80	eV per atom

=====

[6]
## CaCrCu3Se4 (PBE)

Data for a geometry-optimized CaCrCu3Se4 structure.

```
CaCrCu3Se4
1.0
5.947 0.000 0.000
0.000 5.947 0.000
0.000 0.000 5.947
Ca Cr Cu Se
1 1 3 4
Direct
0.000 0.000 0.000
0.500 0.500 0.500
0.000 0.500 0.500
0.500 0.000 0.500
0.500 0.500 0.000
0.269 0.269 0.731
0.269 0.731 0.269
0.731 0.269 0.269
0.731 0.731 0.731
```

Values from the calculation:
uncorrected formation energy	-0.49	eV per atom

=====

[7]
## Cs3TlCo (PBE)

Data for a geometry-optimized Cs3TlCo structure.

```
Cs3TlCo
1.0
7.316 0.000 0.000
0.000 7.316 0.000
0.000 0.000 7.316
Cs Tl Co
3 1 1
Direct
0.000 0.000 0.500
0.000 0.500 0.000
0.500 0.000 0.000
0.000 0.000 0.000
0.500 0.500 0.500
```

Values from the calculation:
formation energy from the elements	0.8427	eV per atom

=====

[8]
## CaTl2Re (PBE)

Data for a geometry-optimized CaTl2Re structure.

```
CaTl2Re
1.0
3.082 0.000 0.000
0.000 4.852 0.000
0.000 0.000 6.152
Ca Tl Re
1 2 1
Direct
0.000 0.000 0.000
0.000 0.000 0.476
0.500 0.500 0.746
0.500 0.500 0.243
```

Values from the calculation:
formation energy from the elements	0.7092	eV per atom
relative energy among the computed polymorphs	179	meV per atom

=====

[9]
## CsTeSCl2 (PBE)

Data for a geometry-optimized CsTeSCl2 structure.

```
CsTeSCl2
1.0
5.633 0.000 0.000
0.000 5.633 0.000
0.000 0.000 5.120
Cs Te S Cl
1 1 1 2
Direct
0.000 0.000 0.000
0.500 0.500 0.500
0.500 0.500 0.000
0.000 0.500 0.500
0.500 0.000 0.500
```

Values from the calculation:
uncorrected formation energy	-0.78	eV per atom

=====

[10]
## TaNb (PBE)

Data for a geometry-optimized TaNb structure.

```
TaNb
1.0
5.085 0.000 0.000
0.000 10.028 0.000
0.000 0.000 2.937
Ta Nb
4 4
Direct
0.118 0.128 0.000
0.382 0.628 0.000
0.618 0.372 0.000
0.882 0.872 0.000
0.120 0.375 0.500
0.380 0.875 0.500
0.620 0.125 0.500
0.880 0.625 0.500
```

Values from the calculation:
formation energy from the elements	0.1830	eV per atom
relative energy among the computed polymorphs	193	meV per atom

=====

[11]
## Ba3ZnPd2O6 (PBE)

Data for a geometry-optimized Ba3ZnPd2O6 structure.

```
Ba3ZnPd2O6
1.0
5.983 0.000 0.000
-2.992 5.182 0.000
0.000 0.000 6.830
Ba Zn Pd O
3 1 2 6
Direct
0.000 0.000 0.000
0.333 0.667 0.639
0.667 0.333 0.361
0.000 0.000 0.500
0.333 0.667 0.165
0.667 0.333 0.835
0.162 0.324 0.313
0.162 0.838 0.313
0.324 0.162 0.687
0.676 0.838 0.313
0.838 0.162 0.687
0.838 0.676 0.687
```

Values from the calculation:
uncorrected formation energy	-1.36	eV per atom

=====

[12]
## CdInSnHg3 (PBE)

Data for a geometry-optimized CdInSnHg3 structure.

```
CdInSnHg3
1.0
8.560 0.000 0.000
0.000 3.956 0.000
-1.636 0.000 9.432
Cd In Sn Hg
2 2 2 6
Direct
0.158 0.250 0.178
0.842 0.750 0.822
0.357 0.750 0.732
0.643 0.250 0.268
0.393 0.750 0.391
0.607 0.250 0.609
0.110 0.250 0.840
0.140 0.250 0.500
0.376 0.750 0.055
0.624 0.250 0.945
0.860 0.750 0.500
0.890 0.750 0.160
```

Values from the calculation:
formation energy from the elements	0.0355	eV per atom

=====

[13]
## MnTcAg4 (PBE)

Data for a geometry-optimized MnTcAg4 structure.

```
MnTcAg4
1.0
0.000 3.798 3.798
3.798 0.000 3.798
3.798 3.798 0.000
Mn Tc Ag
1 1 4
Direct
0.000 0.000 0.000
0.750 0.750 0.750
0.375 0.375 0.375
0.375 0.375 0.875
0.375 0.875 0.375
0.875 0.375 0.375
```

Values from the calculation:
formation energy from the elements	0.6617	eV per atom

=====

[14]
## Sb2TeRhPb (PBE)

Data for a geometry-optimized Sb2TeRhPb structure.

```
Sb2TeRhPb
1.0
5.706 0.000 0.000
0.000 5.706 0.000
0.000 0.000 5.738
Sb Te Rh Pb
2 1 1 1
Direct
0.000 0.500 0.000
0.500 0.000 0.000
0.000 0.000 0.500
0.500 0.500 0.500
0.000 0.000 0.000
```

Values from the calculation:
relative energy among the computed polymorphs	1285	meV per atom
uncorrected formation energy	1.44	eV per atom

=====

[15]
## TcRh2Cl (PBE)

Data for a geometry-optimized TcRh2Cl structure.

```
TcRh2Cl
1.0
-1.408 2.316 4.534
1.408 -2.316 4.534
1.408 2.316 -4.534
Tc Rh Cl
1 2 1
Direct
0.000 0.000 0.000
0.254 0.754 0.500
0.746 0.246 0.500
0.500 0.500 0.000
```

Values from the calculation:
relative energy among the computed polymorphs	370	meV per atom
uncorrected formation energy	0.54	eV per atom

=====

[16]
## TlCo2Ni (PBE)

Data for a geometry-optimized TlCo2Ni structure.

```
TlCo2Ni
1.0
-1.841 1.841 9.065
1.841 -1.841 9.065
1.841 1.841 -9.065
Tl Co Ni
2 4 2
Direct
0.000 0.000 0.000
0.750 0.250 0.500
0.189 0.625 0.064
0.375 0.439 0.564
0.561 0.125 0.936
0.875 0.811 0.436
0.250 0.750 0.500
0.500 0.500 0.000
```

Values from the calculation:
formation energy from the elements	0.6405	eV per atom
relative energy among the computed polymorphs	283	meV per atom

=====

[17]
## PrO (PBE)

Data for a geometry-optimized PrO structure.

```
PrO
1.0
0.000 2.551 2.551
2.551 0.000 2.551
2.551 2.551 0.000
Pr O
1 1
Direct
0.000 0.000 0.000
0.500 0.500 0.500
```

Values from the calculation:
relative energy among the computed polymorphs	0	meV per atom
uncorrected formation energy	-2.70	eV per atom

=====

[18]
## Li3Ac2Pd12Au (PBE)

Data for a geometry-optimized Li3Ac2Pd12Au structure.

```
Li3Ac2Pd12Au
1.0
3.185 1.839 9.857
-3.185 1.839 9.857
0.000 -3.678 9.857
Li Ac Pd Au
3 2 12 1
Direct
0.000 0.500 0.500
0.500 0.000 0.500
0.500 0.500 0.000
0.133 0.133 0.133
0.867 0.867 0.867
0.069 0.627 0.627
0.098 0.098 0.677
0.098 0.677 0.098
0.323 0.902 0.902
0.373 0.373 0.931
0.373 0.931 0.373
0.627 0.069 0.627
0.627 0.627 0.069
0.677 0.098 0.098
0.902 0.323 0.902
0.902 0.902 0.323
0.931 0.373 0.373
0.500 0.500 0.500
```

Values from the calculation:
formation energy from the elements	-0.2832	eV per atom

=====

[19]
## CsP2SI (PBE)

Data for a geometry-optimized CsP2SI structure.

```
CsP2SI
1.0
5.447 0.000 0.000
0.000 5.447 0.000
0.000 0.000 5.447
Cs P S I
1 2 1 1
Direct
0.000 0.000 0.000
0.000 0.500 0.500
0.500 0.000 0.500
0.500 0.500 0.000
0.500 0.500 0.500
```

Values from the calculation:
relative energy among the computed polymorphs	0	meV per atom
uncorrected formation energy	0.72	eV per atom

=====

[20]
## Sc2RhPb (PBE)

Data for a geometry-optimized Sc2RhPb structure.

```
Sc2RhPb
1.0
3.387 0.000 0.000
0.000 4.503 0.000
-1.677 0.000 5.542
Sc Rh Pb
2 1 1
Direct
0.000 0.000 0.000
0.321 0.500 0.647
0.767 0.000 0.542
0.597 0.500 0.195
```

Values from the calculation:
formation energy from the elements	-0.5585	eV per atom